[1]
VASP calculation (PBE-GGA) on an optimized crystal structure of ErB2Ir2.

Output
The calculation puts the theoretical density at 10.01 g cm⁻³. For the total DFT energy (no corrections), the calculation gives -7.131 eV/atom. The calculation puts the formation energy at -0.0028 eV/atom.

Cell: 3.9917 3.9917 11.9428 Å, 90.00 90.00 90.00°
Last column: nearest neighbours and their distance in Å.
Space group I4/mmm (No. 139)
Symmetry-distinct sites (fractional):
Er: 0.0000 0.0000 0.0000 x2  2 B 2.36
B: 0.0000 0.0000 0.1975 x4  4 Ir 2.09
Ir: 0.0000 0.5000 0.2500 x4  4 B 2.09

[2]
VASP calculation (PBE-GGA) on an optimized crystal structure of SiGeOsRu.

Output
Its formation energy without anion corrections is -0.248 eV/atom. The calculation puts the theoretical density at 12.03 g cm⁻³. For the total DFT energy (no corrections), the calculation gives -7.884 eV/atom.

Cell: 6.0045 6.0045 6.0045 Å, 90.00 90.00 90.00°
Last column: nearest neighbours and their distance in Å.
Space group F-43m (No. 216)
Symmetry-distinct sites (fractional):
Si: 0.0000 0.0000 0.0000 x4  4 Ru 2.60, 4 Os 2.60
Ge: 0.0000 0.0000 0.5000 x4  4 Ru 2.60, 4 Os 2.60
Os: 0.2500 0.2500 0.2500 x4  4 Ge 2.60, 4 Si 2.60
Ru: 0.2500 0.2500 0.7500 x4  4 Ge 2.60, 4 Si 2.60

[3]
VASP calculation (PBE-GGA) on an optimized crystal structure of BeTe2C.

Output
Its formation energy without anion corrections is 1.645 eV/atom. The calculation puts the theoretical density at 6.61 g cm⁻³. For the total DFT energy (no corrections), the calculation gives -3.164 eV/atom.

Cell: 6.5224 6.5224 6.5224 Å, 90.00 90.00 90.00°
Last column: nearest neighbours and their distance in Å.
Space group Fm-3m (No. 225)
Symmetry-distinct sites (fractional):
Be: 0.0000 0.0000 0.0000 x4  8 Te 2.82
Te: 0.2500 0.2500 0.2500 x8  4 Be 2.82, 4 C 2.82
C: 0.0000 0.0000 0.5000 x4  8 Te 2.82

[4]
VASP calculation (PBE-GGA) on an optimized crystal structure of Dy4Tm3Ni2.

Output
The calculation puts the theoretical density at 8.84 g cm⁻³. For the total DFT energy (no corrections), the calculation gives -5.003 eV/atom. The calculation puts the formation energy at -0.1824 eV/atom.

Cell: 16.3707 3.5603 8.9290 Å, 90.00 113.06 90.00°
Last column: nearest neighbours and their distance in Å.
Space group C2/m (No. 12)
Symmetry-distinct sites (fractional):
Dy: 0.1334 0.0000 0.3927 x4  7 Dy 3.56-3.96, 6 Tm 3.58-3.77, 1 Ni 3.96
Dy: 0.2303 0.5000 0.1538 x4  3 Ni 2.74-2.91
Tm: 0.0000 0.5000 0.0000 x2  4 Ni 2.83
Tm: 0.0694 0.5000 0.6882 x4  2 Ni 2.72
Ni: 0.1175 0.0000 0.9381 x4  4 Tm 2.72-2.83, 3 Dy 2.74-2.91

What is the total DFT energy (no corrections) in the second record? -7.884 eV/atom

Look up the total DFT energy (no corrections) of the second one. -7.884 eV/atom

Which value of theoretical density does entry 3 give? 6.61 g cm⁻³

Please write out number 1 again, unchanged.
VASP calculation (PBE-GGA) on an optimized crystal structure of ErB2Ir2.

Output
The calculation puts the theoretical density at 10.01 g cm⁻³. For the total DFT energy (no corrections), the calculation gives -7.131 eV/atom. The calculation puts the formation energy at -0.0028 eV/atom.

Cell: 3.9917 3.9917 11.9428 Å, 90.00 90.00 90.00°
Last column: nearest neighbours and their distance in Å.
Space group I4/mmm (No. 139)
Symmetry-distinct sites (fractional):
Er: 0.0000 0.0000 0.0000 x2  2 B 2.36
B: 0.0000 0.0000 0.1975 x4  4 Ir 2.09
Ir: 0.0000 0.5000 0.2500 x4  4 B 2.09